Record 1
# AcLaHg14 PBE relaxed
data_AcLaHg14
_chemical_formula_sum 'Ac2 La2 Hg28'
_symmetry_space_group_name_H-M 'A m m 2'
_symmetry_Int_Tables_number 38
_symmetry_space_group_name_Hall 'A 2 -2'
_cell_length_a 8.770
_cell_length_b 9.867
_cell_length_c 9.841
_cell_angle_alpha 90.00
_cell_angle_beta 90.00
_cell_angle_gamma 90.00
loop_
_atom_site_label
_atom_site_fract_x
_atom_site_fract_y
_atom_site_fract_z
Ac1 0.000 0.000 0.000
La1 0.000 0.000 0.499
Hg1 0.000 0.250 0.249
Hg2 0.263 0.000 0.746
Hg3 0.263 0.247 0.500
Hg4 0.264 0.000 0.253
Hg5 0.500 0.000 0.500
Hg6 0.500 0.000 0.999
Hg7 0.500 0.249 0.750
# crystal system: orthorhombic
# uncorrected energy: -0.0382 hartree per atom
# formation energy from the elements: -0.21 eV/atom

***

Record 2
# YCu2O4 PBE relaxed
data_YCu2O4
_chemical_formula_sum 'Y4 Cu8 O16'
_symmetry_space_group_name_H-M 'I 41/a'
_symmetry_Int_Tables_number 88
_cell_length_a 5.703
_cell_length_b 5.703
_cell_length_c 9.644
_cell_angle_alpha 90.00
_cell_angle_beta 90.00
_cell_angle_gamma 90.00
loop_
_symmetry_equiv_pos_as_xyz
'x,y,z'
'-x,-y,-z'
'-y+3/4,x+1/4,z+1/4'
'y+3/4,-x+1/4,-z+1/4'
'-x+1/2,-y,z+1/2'
'x+1/2,y,-z+1/2'
'y+3/4,-x+3/4,z+3/4'
'-y+3/4,x+3/4,-z+3/4'
'x+1/2,y+1/2,z+1/2'
'-x+1/2,-y+1/2,-z+1/2'
'-y+1/4,x+3/4,z+3/4'
'y+1/4,-x+3/4,-z+3/4'
'-x,-y+1/2,z'
'x,y+1/2,-z'
'y+1/4,-x+1/4,z+1/4'
'-y+1/4,x+1/4,-z+1/4'
loop_
_atom_site_label
_atom_site_fract_x
_atom_site_fract_y
_atom_site_fract_z
Y1 0.000 0.250 0.125
Cu1 0.000 0.000 0.500
O1 0.148 0.459 0.323
# crystal system: tetragonal
# E_form (uncorrected): -1.6626 eV per atom
# uncorrected energy: -0.2422 hartree per atom

***

Record 3
# TcSn2W2 PBE relaxed
data_TcSn2W2
_chemical_formula_sum 'Tc2 Sn4 W4'
_symmetry_space_group_name_H-M 'P 4/m b m'
_symmetry_Int_Tables_number 127
_symmetry_space_group_name_Hall '-P 4 2ab'
_cell_length_a 6.646
_cell_length_b 6.646
_cell_length_c 4.413
_cell_angle_alpha 90.00
_cell_angle_beta 90.00
_cell_angle_gamma 90.00
loop_
_atom_site_label
_atom_site_fract_x
_atom_site_fract_y
_atom_site_fract_z
Tc1 0.000 0.000 0.000
Sn1 0.175 0.325 0.500
W1 0.136 0.636 0.000
# crystal system: tetragonal
# uncorrected energy: -0.2981 hartree per atom
# formation energy from the elements: 0.74 eV/atom

***

Record 4
# CeHg2Se PBE relaxed
data_CeHg2Se
_chemical_formula_sum 'Ce3 Hg6 Se3'
_symmetry_space_group_name_H-M 'R -3 m'
_symmetry_Int_Tables_number 166
_symmetry_space_group_name_Hall '-R 3 2"'
_cell_length_a 3.3081
_cell_length_b 3.3081
_cell_length_c 34.2302
_cell_angle_alpha 90.00
_cell_angle_beta 90.00
_cell_angle_gamma 120.00
loop_
_atom_site_label
_atom_site_fract_x
_atom_site_fract_y
_atom_site_fract_z
Ce1 0.0000 0.0000 0.0000
Hg1 0.0000 0.0000 0.0912
Se1 0.0000 0.0000 0.5000
# crystal system: trigonal
# E_form (uncorrected): 0.2033 eV per atom
# uncorrected energy: -0.0846 hartree per atom

***

Record 5
# Pr3Be2CdPd9 PBE relaxed
data_Pr3Be2CdPd9
_chemical_formula_sum 'Pr3 Be2 Cd1 Pd9'
_symmetry_space_group_name_H-M 'P -3 m 1'
_symmetry_Int_Tables_number 164
_symmetry_space_group_name_Hall '-P 3 2"'
_cell_length_a 6.8350
_cell_length_b 6.8350
_cell_length_c 7.1807
_cell_angle_alpha 90.00
_cell_angle_beta 90.00
_cell_angle_gamma 120.00
loop_
_atom_site_label
_atom_site_fract_x
_atom_site_fract_y
_atom_site_fract_z
Pr1 0.0000 0.0000 0.0000
Pr2 0.3333 0.6667 0.6664
Be1 0.3333 0.6667 0.1248
Cd1 0.0000 0.0000 0.5000
Pd1 0.0000 0.5000 0.0000
Pd2 0.1908 0.3816 0.3178
# crystal system: trigonal
# uncorrected energy: -0.1894 hartree per atom
# formation energy from the elements: -0.52 eV/atom

***

Record 6
# Rb4SrNb3O12 PBE relaxed
data_Rb4SrNb3O12
_chemical_formula_sum 'Rb8 Sr2 Nb6 O24'
_symmetry_space_group_name_H-M 'I m -3 m'
_symmetry_Int_Tables_number 229
_symmetry_space_group_name_Hall '-I 4 2 3'
_cell_length_a 8.574
_cell_length_b 8.574
_cell_length_c 8.574
_cell_angle_alpha 90.00
_cell_angle_beta 90.00
_cell_angle_gamma 90.00
loop_
_atom_site_label
_atom_site_fract_x
_atom_site_fract_y
_atom_site_fract_z
Rb1 0.250 0.250 0.250
Sr1 0.000 0.000 0.000
Nb1 0.000 0.000 0.500
O1 0.000 0.000 0.278
O2 0.000 0.250 0.500
# crystal system: cubic
# E_form (uncorrected): -2.0315 eV per atom
# uncorrected energy: -0.2497 hartree per atom

***

Record 7
# CsCePtO4 PBE relaxed
data_CsCePtO4
_chemical_formula_sum 'Cs4 Ce4 Pt4 O16'
_symmetry_space_group_name_H-M 'I m m a'
_symmetry_Int_Tables_number 74
_symmetry_space_group_name_Hall '-I 2b 2'
_cell_length_a 5.818
_cell_length_b 6.960
_cell_length_c 13.740
_cell_angle_alpha 90.00
_cell_angle_beta 90.00
_cell_angle_gamma 90.00
loop_
_atom_site_label
_atom_site_fract_x
_atom_site_fract_y
_atom_site_fract_z
Cs1 0.000 0.250 0.167
Ce1 0.000 0.000 0.500
Pt1 0.250 0.250 0.750
O1 0.000 0.073 0.698
O2 0.221 0.250 0.492
# crystal system: orthorhombic
# E_form (uncorrected): -1.7462 eV per atom
# uncorrected energy: -0.2356 hartree per atom

***

Record 8
# GeMo2OsCl PBE relaxed
data_GeMo2OsCl
_chemical_formula_sum 'Ge1 Mo2 Os1 Cl1'
_symmetry_space_group_name_H-M 'P 4/m m m'
_symmetry_Int_Tables_number 123
_symmetry_space_group_name_Hall '-P 4 2'
_cell_length_a 4.441
_cell_length_b 4.441
_cell_length_c 4.343
_cell_angle_alpha 90.00
_cell_angle_beta 90.00
_cell_angle_gamma 90.00
loop_
_atom_site_label
_atom_site_fract_x
_atom_site_fract_y
_atom_site_fract_z
Ge1 0.000 0.000 0.000
Mo1 0.000 0.500 0.500
Os1 0.500 0.500 0.000
Cl1 0.500 0.500 0.500
# crystal system: tetragonal
# E_form (uncorrected): 1.3745 eV per atom
# uncorrected energy: -0.2387 hartree per atom